Record 1
Co2AsAu | GGA-PBE | relaxed

## Properties
- Energy relative to the elements: 0.145 eV/atom
- Magnetization: 3.12 Bohr magnetons per cell
- Calculated volume: 15.17 A^3/atom

Cell lengths 2.770, 2.770, 7.908 Å; angles 90.00, 90.00, 90.00 degrees
Fractional positions:
Co  0.000  0.000  0.000
Co  0.500  0.500  0.190
As  0.000  0.000  0.389
Au  0.500  0.500  0.757

***

Record 2
Th3SbPt12 | GGA-PBE | relaxed

## Properties
- ΔE_f (raw): -83 kJ/mol of atoms
- Magnetization: 0.00 Bohr magnetons per cell
- Calculated volume: 18.53 A^3/atom

Cell lengths 4.218, 4.218, 16.670 Å; angles 90.00, 90.00, 90.00 degrees
Fractional positions:
Th  0.000  0.000  0.000
Th  0.000  0.000  0.255
Th  0.000  0.000  0.745
Sb  0.000  0.000  0.500
Pt  0.000  0.500  0.127
Pt  0.000  0.500  0.380
Pt  0.000  0.500  0.620
Pt  0.000  0.500  0.873
Pt  0.500  0.000  0.127
Pt  0.500  0.000  0.380
Pt  0.500  0.000  0.620
Pt  0.500  0.000  0.873
Pt  0.500  0.500  0.000
Pt  0.500  0.500  0.254
Pt  0.500  0.500  0.500
Pt  0.500  0.500  0.746